(1)
DFT (PBE) results for a relaxed structure of TiMnRu2C.

Cell: 4.029 4.029 3.844 Å, 90.00 90.00 90.00°
Space group P4/mmm (No. 123)
One atom of each set of equivalent atoms:
Ti  0.000  0.000  0.000 x1
Mn  0.500  0.500  0.000 x1
Ru  0.000  0.500  0.500 x2
C  0.500  0.500  0.500 x1

DFT formation energy ... -0.214 eV/atom
Density of states at the Fermi level ... 3.3 states/eV/cell

(2)
DFT (PBE) results for a relaxed structure of ZrIn2Fe.

Cell: 4.271 4.271 4.330 Å, 90.00 90.00 90.00°
Space group P4/mmm (No. 123)
One atom of each set of equivalent atoms:
Zr  0.000  0.000  0.000 x1
In  0.000  0.500  0.500 x2
Fe  0.500  0.500  0.000 x1

DFT formation energy ... -0.046 eV/atom
Density of states at the Fermi level ... 2.5 states/eV/cell

(3)
DFT (PBE) results for a relaxed structure of RbNa3Cl.

Cell: 6.956 6.956 6.956 Å, 90.00 90.00 90.00°
Space group Pm-3m (No. 221)
One atom of each set of equivalent atoms:
Rb  0.000  0.000  0.000 x1
Na  0.000  0.000  0.500 x3
Cl  0.500  0.500  0.500 x1

E_form (uncorrected) ... 82 kJ/mol of formula units
Density of states at the Fermi level ... 7.0 states/eV/cell

(4)
DFT (PBE) results for a relaxed structure of PuVReMo.

Cell: 6.401 6.401 6.401 Å, 90.00 90.00 90.00°
Space group F-43m (No. 216)
One atom of each set of equivalent atoms:
Pu  0.000  0.000  0.000 x4
V  0.250  0.250  0.750 x4
Re  0.000  0.000  0.500 x4
Mo  0.250  0.250  0.250 x4

DFT formation energy ... 0.178 eV/atom
Density of states at the Fermi level ... 28.3 states/eV/cell